Li3Ho2ThSe6 | Alexandria | PBE | optimized geometry; formation energy (no corrections) = -1.615 eV per atom; E_tot = -62.6 eV/cell; density of states at the Fermi level = 0.32 states/eV/atom; space-group type = No. 12
1.0
-3.1105 6.1820 1.3143
-3.7848 -5.9403 0.0929
3.5724 -0.7935 5.9030
Li Ho Th Se
3 2 1 6
direct
0.1680 0.8320 0.5000
0.8320 0.1680 0.5000
0.5000 0.5000 0.5000
0.3336 0.6664 0.0000
0.6664 0.3336 0.0000
0.0000 0.0000 0.0000
0.9142 0.5750 0.7417
0.7474 0.7474 0.2596
0.0858 0.4250 0.2583
0.5750 0.9142 0.7417
0.2526 0.2526 0.7404
0.4250 0.0858 0.2583